1.
Computed, not measured: a relaxed Rb4ZrPa3O12 crystal at the PBE-GGA level of DFT.

a = 8.7495 Å, b = 8.7495 Å, c = 8.7495 Å
α = 90.00°, β = 90.00°, γ = 90.00°
With the nearest neighbours (Å) after each atom.
Space group Im-3m (No. 229)
Symmetry-distinct sites (fractional):
Rb1 0.2500 0.2500 0.2500 [8 per cell]  12 O 3.09
Zr1 0.0000 0.0000 0.0000 [2 per cell]  6 O 2.17
Pa1 0.0000 0.0000 0.5000 [6 per cell]  6 O 2.19-2.20
O1 0.0000 0.0000 0.2484 [12 per cell]  1 Zr 2.17, 1 Pa 2.20
O2 0.0000 0.2500 0.5000 [12 per cell]  2 Pa 2.19

Output
DOS at the Fermi energy: 39.12 states/eV/cell
Energy: -7.937 eV/atom

***

2.
Computed, not measured: a relaxed FeRh2Se crystal at the PBE-GGA level of DFT.

a = 3.7699 Å, b = 3.7699 Å, c = 8.2667 Å
α = 90.00°, β = 90.00°, γ = 90.00°
With the nearest neighbours (Å) after each atom.
Space group I-4m2 (No. 119)
Symmetry-distinct sites (fractional):
Fe1 0.0000 0.0000 0.0000 [2 per cell]  8 Rh 2.67-2.80, 4 Se 2.80
Rh1 0.0000 0.0000 0.5000 [2 per cell]  4 Fe 2.67, 4 Se 2.80, 4 Rh 2.80
Rh2 0.0000 0.5000 0.7500 [2 per cell]  4 Se 2.67, 4 Fe 2.80, 4 Rh 2.80
Se1 0.0000 0.5000 0.2500 [2 per cell]  8 Rh 2.67-2.80, 4 Fe 2.80

Output
DOS at the Fermi energy: 8.26 states/eV/cell
Energy: -6.502 eV/atom

***

3.
Computed, not measured: a relaxed InTc2 crystal at the PBE-GGA level of DFT.

a = 2.9281 Å, b = 14.8314 Å, c = 4.6065 Å
α = 90.00°, β = 90.00°, γ = 90.00°
With the nearest neighbours (Å) after each atom.
Space group Cmcm (No. 63)
Symmetry-distinct sites (fractional):
In1 0.0000 0.2127 0.2500 [4 per cell]  6 Tc 2.85-3.15, 6 In 2.93-2.94
Tc1 0.0000 0.0994 0.7500 [4 per cell]  6 Tc 2.60-2.84, 2 In 2.85
Tc2 0.0000 0.4542 0.7500 [4 per cell]  8 Tc 2.60-2.84, 2 In 2.88

Output
DOS at the Fermi energy: 10.38 states/eV/cell
Energy: -7.591 eV/atom

***

4.
Computed, not measured: a relaxed Ba2HgMo crystal at the PBE-GGA level of DFT.

a = 3.9418 Å, b = 5.6840 Å, c = 12.0339 Å
α = 90.00°, β = 90.00°, γ = 90.00°
With the nearest neighbours (Å) after each atom.
Space group Imm2 (No. 44)
Symmetry-distinct sites (fractional):
Ba1 0.0000 0.0000 0.0000 [2 per cell]  4 Mo 3.53, 4 Ba 3.74-3.94, 2 Hg 3.81
Ba2 0.0000 0.5000 0.2022 [2 per cell]  4 Hg 3.56, 2 Mo 3.73, 4 Ba 3.74-3.94
Hg1 0.0000 0.5000 0.7706 [2 per cell]  2 Mo 2.83
Mo1 0.0000 0.0000 0.4395 [2 per cell]  2 Hg 2.83

Output
DOS at the Fermi energy: 6.41 states/eV/cell
Energy: -3.209 eV/atom

***

5.
Computed, not measured: a relaxed Ba3Er2UAs6 crystal at the PBE-GGA level of DFT.

a = 7.4357 Å, b = 12.8755 Å, c = 7.8644 Å
α = 90.00°, β = 108.33°, γ = 90.00°
With the nearest neighbours (Å) after each atom.
Space group C2/m (No. 12)
Symmetry-distinct sites (fractional):
Ba1 0.0000 0.0000 0.0000 [2 per cell]  6 As 3.30-3.40
Ba2 0.0000 0.3292 0.0000 [4 per cell]  6 As 3.29-3.38
Er1 0.0000 0.1659 0.5000 [4 per cell]  6 As 2.95
U1 0.0000 0.5000 0.5000 [2 per cell]  6 As 2.81
As1 0.2267 0.3402 0.7017 [8 per cell]  1 U 2.81, 2 Er 2.95
As2 0.2496 0.0000 0.7038 [4 per cell]  1 U 2.81, 2 Er 2.95

Output
Energy: -5.652 eV/atom

***

6.
Computed, not measured: a relaxed Cs4HAu2 crystal at the PBE-GGA level of DFT.

a = 5.8134 Å, b = 5.8134 Å, c = 18.8696 Å
α = 90.00°, β = 90.00°, γ = 90.00°
With the nearest neighbours (Å) after each atom.
Space group I4/mmm (No. 139)
Symmetry-distinct sites (fractional):
Cs1 0.0000 0.0000 0.1761 [4 per cell]  1 H 3.32, 1 Au 3.67
Cs2 0.0000 0.5000 0.0000 [4 per cell]  2 H 2.91
H1 0.0000 0.0000 0.0000 [2 per cell]  4 Cs 2.91
Au1 0.0000 0.0000 0.3705 [4 per cell]  5 Cs 3.67-3.80

Output
DOS at the Fermi energy: 9.48 states/eV/cell
Excess energy over the best structure of this formula in the dataset: 15 meV per atom